Entry 1:
ErSc2Hg3: relaxed, PBE-GGA.

a = 3.5808 Å, b = 3.5808 Å, c = 10.7240 Å
α = 90.00°, β = 90.00°, γ = 90.00°
Fractional positions:
Er1 0.0000 0.0000 0.0000
Sc1 0.0000 0.0000 0.3390
Sc2 0.0000 0.0000 0.6610
Hg1 0.5000 0.5000 0.1795
Hg2 0.5000 0.5000 0.5000
Hg3 0.5000 0.5000 0.8205

Output
SG: P4/mmm
Calculated formation energy: -0.440 eV/atom

Entry 2:
CuAsI3: relaxed, PBE-GGA.

a = 11.3564 Å, b = 11.3564 Å, c = 7.7397 Å
α = 106.46°, β = 106.46°, γ = 23.04°
Fractional positions:
Cu1 0.2214 0.2214 0.4007
Cu2 0.7786 0.7786 0.5993
As1 0.0190 0.0190 0.6775
As2 0.9810 0.9810 0.3225
I1 0.0940 0.0940 0.2497
I2 0.2545 0.2545 0.7532
I3 0.4020 0.4020 0.2924
I4 0.5980 0.5980 0.7076
I5 0.7455 0.7455 0.2468
I6 0.9060 0.9060 0.7503

Output
Raw formation energy: -0.0401 eV per atom
E above lowest polymorph: 0 meV per atom
SG: C2/m

Entry 3:
Sc2GaPd6: relaxed, PBE-GGA.

a = 7.9591 Å, b = 7.9591 Å, c = 3.0710 Å
α = 101.08°, β = 101.08°, γ = 54.58°
Fractional positions:
Sc1 0.1619 0.1619 0.1705
Sc2 0.8381 0.8381 0.8295
Ga1 0.5000 0.5000 0.5000
Pd1 0.1393 0.5284 0.3303
Pd2 0.2126 0.7874 0.0000
Pd3 0.4716 0.8607 0.6697
Pd4 0.5284 0.1393 0.3303
Pd5 0.7874 0.2126 0.0000
Pd6 0.8607 0.4716 0.6697

Output
SG: C2/m
Calculated formation energy: -0.595 eV/atom

Entry 4:
Cs2GeI5Br: relaxed, PBE-GGA.

a = 8.3272 Å, b = 8.3272 Å, c = 8.3272 Å
α = 120.87°, β = 120.87°, γ = 88.51°
Fractional positions:
Cs1 0.0000 0.5000 0.5000
Cs2 0.5000 0.0000 0.5000
Ge1 0.2518 0.2518 0.0000
I1 0.0119 0.0119 0.5202
I2 0.0119 0.4917 0.0000
I3 0.0158 0.0158 0.0000
I4 0.4917 0.0119 0.0000
I5 0.4917 0.4917 0.4798
Br1 0.4656 0.4656 0.0000

Output
Raw formation energy: -0.8297 eV per atom
SG: I4mm

Entry 5:
GaFeReIr2: relaxed, PBE-GGA.

a = 4.7778 Å, b = 4.7778 Å, c = 4.5519 Å
α = 90.00°, β = 90.00°, γ = 90.00°
Fractional positions:
Ga1 0.0000 0.0000 0.0000
Fe1 0.5000 0.5000 0.0000
Re1 0.5000 0.5000 0.5000
Ir1 0.0000 0.5000 0.5000
Ir2 0.5000 0.0000 0.5000

Output
SG: P4/mmm
Calculated formation energy: 1.473 eV/atom

Entry 6:
LiPrNp4N8: relaxed, PBE-GGA.

a = 6.5503 Å, b = 6.5503 Å, c = 6.5503 Å
α = 63.73°, β = 63.73°, γ = 63.73°
Fractional positions:
Li1 0.0000 0.0000 0.0000
Pr1 0.6165 0.6165 0.6165
Np1 0.0043 0.0043 0.5086
Np2 0.0043 0.5086 0.0043
Np3 0.3890 0.3890 0.3890
Np4 0.5086 0.0043 0.0043
N1 0.1901 0.7675 0.7675
N2 0.2453 0.2453 0.2453
N3 0.2611 0.2611 0.7911
N4 0.2611 0.7911 0.2611
N5 0.7675 0.1901 0.7675
N6 0.7675 0.7675 0.1901
N7 0.7705 0.7705 0.7705
N8 0.7911 0.2611 0.2611

Output
Raw formation energy: -0.9732 eV per atom
SG: R3m

Entry 7:
Cu2RhAu: relaxed, PBE-GGA.

a = 2.9119 Å, b = 4.5416 Å, c = 8.7809 Å
α = 90.00°, β = 90.00°, γ = 90.00°
Fractional positions:
Cu1 0.0000 0.0000 0.2412
Cu2 0.0000 0.0000 0.7588
Cu3 0.5000 0.5000 0.2412
Cu4 0.5000 0.5000 0.7588
Rh1 0.0000 0.5000 0.0000
Rh2 0.5000 0.0000 0.0000
Au1 0.0000 0.5000 0.5000
Au2 0.5000 0.0000 0.5000

Output
SG: Cmmm
Calculated formation energy: 0.126 eV/atom

Entry 8:
TmHfZr: relaxed, PBE-GGA.

a = 3.1813 Å, b = 3.1813 Å, c = 14.7985 Å
α = 90.00°, β = 90.00°, γ = 90.00°
Fractional positions:
Tm1 0.0000 0.0000 0.0000
Tm2 0.5000 0.5000 0.5000
Hf1 0.0000 0.0000 0.3285
Hf2 0.5000 0.5000 0.8285
Zr1 0.0000 0.0000 0.6821
Zr2 0.5000 0.5000 0.1821

Output
E above lowest polymorph: 0 meV per atom
SG: I4mm
Calculated formation energy: 0.103 eV/atom

Entry 9:
RbZnHg2Rh: relaxed, PBE-GGA.

a = 5.3744 Å, b = 5.3744 Å, c = 4.9228 Å
α = 90.00°, β = 90.00°, γ = 90.00°
Fractional positions:
Rb1 0.0000 0.0000 0.0000
Zn1 0.5000 0.5000 0.0000
Hg1 0.0000 0.5000 0.5000
Hg2 0.5000 0.0000 0.5000
Rh1 0.5000 0.5000 0.5000

Output
SG: P4/mmm
Calculated formation energy: -0.154 eV/atom

Entry 10:
GaSnAu: relaxed, PBE-GGA.

a = 3.3048 Å, b = 3.3048 Å, c = 11.7396 Å
α = 90.00°, β = 90.00°, γ = 90.00°
Fractional positions:
Ga1 0.0000 0.0000 0.0000
Ga2 0.5000 0.5000 0.5000
Sn1 0.0000 0.0000 0.6933
Sn2 0.5000 0.5000 0.1933
Au1 0.0000 0.0000 0.3680
Au2 0.5000 0.5000 0.8680

Output
SG: I4mm
Calculated formation energy: -0.036 eV/atom

Entry 11:
Zn2TeRhI: relaxed, PBE-GGA.

a = 5.1927 Å, b = 5.1927 Å, c = 6.0131 Å
α = 90.00°, β = 90.00°, γ = 90.00°
Fractional positions:
Zn1 0.0000 0.5000 0.0000
Zn2 0.5000 0.0000 0.0000
Te1 0.0000 0.0000 0.0000
Rh1 0.5000 0.5000 0.5000
I1 0.0000 0.0000 0.5000

Output
Raw formation energy: 1.0808 eV per atom
SG: P4/mmm

Entry 12:
Y2VHg: relaxed, PBE-GGA.

a = 4.5283 Å, b = 4.5283 Å, c = 20.9908 Å
α = 90.00°, β = 90.00°, γ = 90.00°
Fractional positions:
Y1 0.2487 0.2500 0.1250
Y2 0.2500 0.7487 0.3750
Y3 0.2500 0.7513 0.8750
Y4 0.2513 0.2500 0.6250
Y5 0.7487 0.7500 0.6250
Y6 0.7500 0.2487 0.8750
Y7 0.7500 0.2513 0.3750
Y8 0.7513 0.7500 0.1250
V1 0.0000 0.0000 0.5000
V2 0.0000 0.5000 0.7500
V3 0.5000 0.0000 0.2500
V4 0.5000 0.5000 0.0000
Hg1 0.0000 0.0000 0.0000
Hg2 0.0000 0.5000 0.2500
Hg3 0.5000 0.0000 0.7500
Hg4 0.5000 0.5000 0.5000

Output
SG: I-42d
Calculated formation energy: 0.575 eV/atom

Density, record by record: 10373, 4611, 8563, 4340, 11126, 9325, 12211, 9727, 7649, 9982, 5000, 6625 kg/m³